No. 1
Compound: Ho2ErZrS4
Source: the Alexandria database
Functional: PBE
Structure: optimized geometry

Calculated values
electronic total energy = -6.6592 eV per atom
ΔE_f (raw) = -1812 meV per atom

Cell: 3.8428 6.6378 6.6331 Å, 109.72 90.00 90.00°
Element x y z (fractional)
Zr 0.5000 0.5000 0.0000
Ho 0.0000 0.5000 0.5000
Ho 0.5000 0.0000 0.5000
S 0.0000 0.2544 0.7557
S 0.0000 0.7456 0.2443
S 0.5000 0.2514 0.2460
S 0.5000 0.7486 0.7540
Er 0.0000 0.0000 0.0000

=====

No. 2
Compound: HoEr2ZrS4
Source: the Alexandria database
Functional: PBE
Structure: optimized geometry

Calculated values
electronic total energy = -6.6522 eV per atom
ΔE_f (raw) = -1807 meV per atom

Cell: 3.8368 6.6239 6.6324 Å, 109.70 90.00 90.00°
Element x y z (fractional)
Ho 0.0000 0.0000 0.0000
S 0.0000 0.2543 0.7531
S 0.5000 0.2532 0.2493
S 0.5000 0.7468 0.7507
S 0.0000 0.7457 0.2469
Er 0.5000 0.0000 0.5000
Er 0.0000 0.5000 0.5000
Zr 0.5000 0.5000 0.0000

=====

No. 3
Compound: HoEr2Sb
Source: the Alexandria database
Functional: PBE
Structure: optimized geometry

Calculated values
distance to the lowest polymorph of the same formula = 1.11 eV per formula unit
electronic total energy = -4.7187 eV per atom
ΔE_f (raw) = -262 meV per atom

Cell: 3.9187 3.9187 9.8947 Å, 78.58 78.58 60.00°
Each line ends with the local moment (μB).
Element x y z (fractional)
Er 0.7343 0.7343 0.7972  0.10
Er 0.2657 0.2657 0.2028  0.10
Ho 0.5000 0.5000 0.5000  0.30
Sb 0.0000 0.0000 0.0000  0.01

=====

No. 4
Compound: HoEr5Sb4
Source: the Alexandria database
Functional: PBE
Structure: optimized geometry

Calculated values
electronic total energy = -5.0774 eV per atom
ΔE_f (raw) = -689 meV per atom

Cell: 4.2721 8.3333 9.4827 Å, 105.54 103.02 90.00°
Element x y z (fractional)
Er 0.5000 0.5000 0.0000
Er 0.8201 0.6497 0.6402
Er 0.1624 0.8182 0.3249
Er 0.1799 0.3503 0.3598
Er 0.8376 0.1818 0.6751
Sb 0.3303 0.9155 0.6606
Sb 0.9907 0.7404 0.9815
Sb 0.6697 0.0845 0.3394
Sb 0.0093 0.2596 0.0185
Ho 0.5000 0.0000 0.0000

=====

No. 5
Compound: Ho3ErSb2
Source: the Alexandria database
Functional: PBE
Structure: optimized geometry

Calculated values
distance to the lowest polymorph of the same formula = 0.76 eV per formula unit
electronic total energy = -5.0795 eV per atom
ΔE_f (raw) = -656 meV per atom

Cell: 4.2685 10.4401 9.7081 Å, 125.37 90.00 101.80°
Element x y z (fractional)
Ho 0.6880 0.3759 0.4833
Ho 0.6443 0.2887 0.8118
Ho 0.9446 0.8892 0.5641
Ho 0.3120 0.6241 0.5167
Ho 0.0554 0.1108 0.4359
Ho 0.3557 0.7113 0.1882
Sb 0.2510 0.5020 0.7796
Sb 0.4920 0.9840 0.8291
Sb 0.7490 0.4980 0.2204
Sb 0.5080 0.0160 0.1709
Er 0.8907 0.7813 0.8938
Er 0.1093 0.2187 0.1062

=====

No. 6
Compound: Ho5Er5Sb6
Source: the Alexandria database
Functional: PBE
Structure: optimized geometry

Calculated values
electronic total energy = -5.2968 eV per atom
ΔE_f (raw) = -894 meV per atom

Cell: 6.2617 8.9209 8.9209 Å, 120.05 90.00 90.00°
Element x y z (fractional)
Er 0.0000 0.7538 0.0001
Er 0.0000 0.0001 0.7538
Er 0.5000 0.7543 0.7543
Er 0.5000 0.2464 0.9998
Er 0.5000 0.9998 0.2464
Ho 0.2500 0.3334 0.6664
Ho 0.0000 0.2459 0.2459
Ho 0.7500 0.6664 0.3334
Ho 0.7500 0.3334 0.6664
Ho 0.2500 0.6664 0.3334
Sb 0.5000 0.0000 0.6112
Sb 0.0000 0.6116 0.6116
Sb 0.5000 0.6112 0.0000
Sb 0.5000 0.3887 0.3887
Sb 0.0000 0.3890 0.9995
Sb 0.0000 0.9995 0.3890

=====

No. 7
Compound: HoEr4Sb5
Source: the Alexandria database
Functional: PBE
Structure: optimized geometry

Calculated values
electronic total energy = -5.4430 eV per atom
ΔE_f (raw) = -1099 meV per atom

Cell: 4.3546 6.1555 11.5182 Å, 105.50 100.90 90.00°
Element x y z (fractional)
Sb 0.3996 0.8996 0.7992
Sb 0.6004 0.1004 0.2008
Sb 0.1999 0.6999 0.3999
Sb 0.0000 0.5000 0.0000
Sb 0.8001 0.3001 0.6001
Er 0.2002 0.2002 0.4003
Er 0.7998 0.7998 0.5997
Er 0.4000 0.4000 0.8000
Er 0.6000 0.6000 0.2000
Ho 0.0000 0.0000 0.0000

=====

No. 8
Compound: Ho2ErSb3
Source: the Alexandria database
Functional: PBE
Structure: optimized geometry

Calculated values
electronic total energy = -5.4550 eV per atom
ΔE_f (raw) = -1107 meV per atom

Cell: 4.3626 6.1655 7.5557 Å, 114.08 106.78 90.00°
Element x y z (fractional)
Ho 0.8331 0.8331 0.1662
Ho 0.1669 0.1669 0.8338
Sb 0.1660 0.6660 0.8321
Sb 0.8340 0.3340 0.1679
Sb 0.5000 0.0000 0.5000
Er 0.5000 0.5000 0.5000

=====

No. 9
Compound: HoEr2Sb
Source: the Alexandria database
Functional: PBE
Structure: optimized geometry

Calculated values
distance to the lowest polymorph of the same formula = 0.95 eV per formula unit
electronic total energy = -4.7588 eV per atom
ΔE_f (raw) = -302 meV per atom

Cell: 3.9651 3.9651 9.6418 Å, 78.13 78.13 60.00°
Each line ends with the local moment (μB).
Element x y z (fractional)
Ho 0.5005 0.5005 0.4985  0.23
Sb 0.6662 0.6662 0.0015  0.00
Er 0.2650 0.2650 0.2051  0.03
Er 0.0684 0.0684 0.7949  0.18

=====

No. 10
Compound: HoEr3Sb3
Source: the Alexandria database
Functional: PBE
Structure: optimized geometry

Calculated values
distance to the lowest polymorph of the same formula = 0.00 eV per formula unit
electronic total energy = -5.3305 eV per atom
ΔE_f (raw) = -954 meV per atom

Cell: 9.1229 9.1229 9.1229 Å, 90.00 90.00 90.00°
Element x y z (fractional)
Ho 0.9277 0.0723 0.5723
Ho 0.5723 0.9277 0.0723
Ho 0.0723 0.5723 0.9277
Ho 0.4277 0.4277 0.4277
Er 0.1773 0.1773 0.1773
Er 0.3225 0.1775 0.8225
Er 0.3227 0.8227 0.6773
Er 0.8225 0.3225 0.1775
Er 0.1775 0.8225 0.3225
Er 0.9268 0.9268 0.9268
Er 0.6775 0.6775 0.6775
Er 0.4268 0.5732 0.0732
Er 0.8227 0.6773 0.3227
Er 0.0732 0.4268 0.5732
Er 0.5732 0.0732 0.4268
Er 0.6773 0.3227 0.8227
Sb 0.4998 0.2508 0.1248
Sb 0.3752 0.5002 0.7508
Sb 0.2492 0.8752 0.9998
Sb 0.7508 0.3752 0.5002
Sb 0.8752 0.9998 0.2492
Sb 0.2508 0.1248 0.4998
Sb 0.7492 0.6248 0.0002
Sb 0.0002 0.7492 0.6248
Sb 0.9998 0.2492 0.8752
Sb 0.6248 0.0002 0.7492
Sb 0.5002 0.7508 0.3752
Sb 0.1248 0.4998 0.2508

=====

No. 11
Compound: Ho5ErSb6
Source: the Alexandria database
Functional: PBE
Structure: optimized geometry

Calculated values
electronic total energy = -5.4594 eV per atom
ΔE_f (raw) = -1111 meV per atom

Cell: 7.5585 7.5612 7.5609 Å, 60.00 80.40 70.53°
Element x y z (fractional)
Sb 0.7503 0.7505 0.0000
Sb 0.2497 0.2495 0.0000
Sb 0.7504 0.0832 0.3328
Sb 0.2496 0.5840 0.3328
Sb 0.7504 0.4160 0.6672
Sb 0.2496 0.9168 0.6672
Ho 0.5000 0.5000 0.0000
Ho 0.5000 0.8331 0.3338
Ho 0.0000 0.6666 0.6667
Ho 0.0000 0.3334 0.3333
Ho 0.5000 0.1669 0.6662
Er 0.0000 0.0000 0.0000

=====

No. 12
Compound: HoEr3Sb3
Source: the Alexandria database
Functional: PBE
Structure: optimized geometry

Calculated values
distance to the lowest polymorph of the same formula = 0.60 eV per formula unit
electronic total energy = -5.2442 eV per atom
ΔE_f (raw) = -868 meV per atom

Cell: 8.8836 8.8836 7.9661 Å, 56.11 56.11 60.00°
Element x y z (fractional)
Er 0.1771 0.6578 0.2509
Er 0.6578 0.9142 0.2509
Er 0.3422 0.0858 0.7491
Er 0.8229 0.3422 0.7491
Er 0.0858 0.8229 0.7491
Er 0.9142 0.1771 0.2509
Sb 0.0790 0.4722 0.7517
Sb 0.4722 0.6971 0.7517
Sb 0.9210 0.5278 0.2483
Sb 0.5278 0.3029 0.2483
Sb 0.3029 0.9210 0.2483
Sb 0.6971 0.0790 0.7517
Ho 0.6659 0.6659 0.0022
Ho 0.3341 0.3341 0.9978

=====

Number 1: D(E_F) 0.4451 states/eV/atom. Number 2: D(E_F) 0.4491 states/eV/atom. Number 3: D(E_F) 1.3876 states/eV/atom. Number 4: D(E_F) 0.5460 states/eV/atom. Number 5: D(E_F) 1.0650 states/eV/atom. Number 6: D(E_F) 0.9710 states/eV/atom. Number 7: D(E_F) 0.1892 states/eV/atom. Number 8: D(E_F) 0.2022 states/eV/atom. Number 9: D(E_F) 1.1143 states/eV/atom. Number 10: D(E_F) 0.9235 states/eV/atom. Number 11: D(E_F) 0.1673 states/eV/atom. Number 12: D(E_F) 0.7056 states/eV/atom.